Record 1
Crystalline GePd8Pt2 at its relaxed geometry. Source: Alexandria, functional PBE-GGA.

abc: 3.970 6.175 8.369
angles: 121.39 103.72 90.00
Fractional positions:
Pd 0.044 0.358 0.089
Pd 0.410 0.265 0.821
Pd 0.590 0.735 0.179
Ge 0.500 0.000 0.000
Pd 0.680 0.451 0.359
Pt 0.225 0.817 0.450
Pd 0.956 0.642 0.911
Pt 0.775 0.183 0.550
Pd 0.865 0.906 0.730
Pd 0.320 0.549 0.641
Pd 0.135 0.094 0.270

Computed properties:
The formation energy from the elements comes out at -0.1518 eV per atom. The value obtained for the energy above the most stable polymorph in this dataset is 0.000 eV/f.u.

Record 2
Crystalline GePdPt at its relaxed geometry. Source: Alexandria, functional PBE-GGA.

abc: 4.156 4.156 4.156
angles: 60.00 60.00 60.00
Fractional positions:
Pd 0.000 0.000 0.000
Pt 0.500 0.500 0.500
Ge 0.250 0.250 0.250

Computed properties:
The formation energy from the elements comes out at -0.4457 eV per atom.

Record 3
Crystalline Ge3Pd2Pt5 at its relaxed geometry. Source: Alexandria, functional PBE-GGA.

abc: 4.085 5.842 13.567
angles: 90.00 98.66 90.00
Fractional positions:
Pt 0.298 0.886 0.596
Pd 0.522 0.328 0.044
Pt 0.407 0.448 0.813
Pt 0.877 0.759 0.754
Ge 0.791 0.608 0.582
Pd 0.478 0.828 0.956
Pt 0.123 0.259 0.246
Pt 0.702 0.386 0.404
Pt 0.051 0.638 0.102
Pt 0.949 0.138 0.898
Pt 0.593 0.948 0.187
Ge 0.039 0.055 0.078
Ge 0.209 0.108 0.418
Pd 0.157 0.736 0.314
Pt 0.279 0.378 0.558
Pt 0.721 0.878 0.442
Ge 0.961 0.555 0.922
Ge 0.389 0.029 0.777
Pd 0.843 0.236 0.686
Ge 0.611 0.529 0.223

Computed properties:
The formation energy from the elements comes out at -0.3882 eV per atom.

Record 4
Crystalline GePdPt at its relaxed geometry. Source: Alexandria, functional PBE-GGA.

abc: 3.250 4.137 4.137
angles: 120.00 90.00 90.00
Fractional positions:
Pt 0.243 0.333 0.667
Pd 0.725 0.667 0.333
Ge 0.032 0.000 0.000

Computed properties:
The formation energy from the elements comes out at -0.3964 eV per atom.

Record 5
Crystalline Ge2Pd3Pt at its relaxed geometry. Source: Alexandria, functional PBE-GGA.

abc: 3.784 6.479 7.639
angles: 90.00 90.00 90.00
Fractional positions:
Ge 0.000 0.755 0.374
Ge 0.000 0.255 0.626
Ge 0.500 0.248 0.125
Pd 0.500 0.637 0.179
Ge 0.500 0.748 0.875
Pd 0.000 0.962 0.083
Pd 0.000 0.865 0.677
Pt 0.500 0.033 0.404
Pd 0.000 0.365 0.323
Pd 0.000 0.462 0.917
Pt 0.500 0.533 0.596
Pd 0.500 0.137 0.821

Computed properties:
The formation energy from the elements comes out at -0.4732 eV per atom. The value obtained for the energy above the most stable polymorph in this dataset is 0.023 eV/f.u.

Record 6
Crystalline Ge2Pd8Pt at its relaxed geometry. Source: Alexandria, functional PBE-GGA.

abc: 4.054 6.460 7.318
angles: 112.07 106.08 90.00
Fractional positions:
Pd 0.835 0.758 0.671
Pd 0.963 0.259 0.925
Pd 0.602 0.469 0.204
Pd 0.037 0.741 0.075
Pt 0.500 0.000 0.000
Pd 0.324 0.066 0.648
Ge 0.202 0.670 0.404
Pd 0.398 0.531 0.796
Pd 0.676 0.934 0.352
Ge 0.798 0.330 0.596
Pd 0.165 0.242 0.329

Computed properties:
The formation energy from the elements comes out at -0.3005 eV per atom.

Record 7
Crystalline GePd9Pt4 at its relaxed geometry. Source: Alexandria, functional PBE-GGA.

abc: 8.420 7.871 7.871
angles: 120.00 90.00 90.00
Fractional positions:
Pd 0.539 0.209 0.418
Pd 0.250 0.067 0.534
Pd 0.039 0.791 0.209
Pd 0.750 0.534 0.466
Pd 0.961 0.209 0.791
Pt 0.250 0.115 0.885
Pd 0.039 0.418 0.209
Pd 0.961 0.209 0.418
Pt 0.250 0.769 0.885
Pd 0.250 0.466 0.534
Pd 0.039 0.791 0.582
Pd 0.539 0.582 0.791
Pd 0.961 0.582 0.791
Pt 0.500 0.000 0.000
Ge 0.750 0.333 0.667
Pd 0.461 0.791 0.209
Pd 0.250 0.466 0.933
Pd 0.461 0.791 0.582
Pt 0.750 0.885 0.115
Pt 0.250 0.115 0.231
Pd 0.750 0.534 0.067
Pt 0.750 0.231 0.115
Ge 0.250 0.667 0.333
Pt 0.000 0.000 0.000
Pd 0.750 0.933 0.466
Pt 0.750 0.885 0.769
Pd 0.461 0.418 0.209
Pd 0.539 0.209 0.791

Computed properties:
The formation energy from the elements comes out at -0.0645 eV per atom.

Record 8
Crystalline GePdPt at its relaxed geometry. Source: Alexandria, functional PBE-GGA.

abc: 3.963 3.818 6.383
angles: 90.00 97.16 90.00
Fractional positions:
Pt 0.696 0.500 0.113
Ge 0.637 0.000 0.843
Pd 0.120 0.500 0.746
Pt 0.724 0.000 0.472
Ge 0.251 0.500 0.381
Pd 0.190 0.000 0.102

Computed properties:
The formation energy from the elements comes out at -0.4334 eV per atom.